This record from Alexandria via LeMat-Bulk describes a geometry-optimized Nd7InSe5 structure. The functional is PBE-GGA.

Lattice parameters (Å, degrees): 14.015 4.209 25.260 90.00 90.02 90.00
Space group C2/m (No. 12)
One atom of each set of equivalent atoms:
Nd 0.021 0.000 0.250 x4
Nd 0.092 0.500 0.112 x4
Nd 0.092 0.500 0.388 x4
Nd 0.137 0.000 0.536 x4
Nd 0.137 0.000 0.964 x4
Nd 0.183 0.500 0.676 x4
Nd 0.183 0.500 0.824 x4
In 0.193 0.500 0.250 x4
Se 0.000 0.500 0.000 x2
Se 0.000 0.500 0.500 x2
Se 0.048 0.000 0.641 x4
Se 0.048 0.000 0.859 x4
Se 0.225 0.000 0.071 x4
Se 0.225 0.000 0.429 x4

Uncorrected formation energy   -1.49 eV/atom
DOS(E_F)   35.22 states/eV/cell
V   28.654 A^3/atom
Calculated total energy   -291.802 eV/cell
Total moment   0.0 μB per cell